{
  "formula": "Ta2VHRh",
  "functional": "PBE",
  "state": "relaxed",
  "relative_energy_ev_per_atom": 0.055,
  "final_energy_ev_per_atom": -8.84,
  "lattice_angstrom": [[-1.7052, -1.3026, 3.7545], [3.2033, -2.8685, 0.4597], [1.9396, 2.4430, 1.7285]],
  "species": ["Ta", "Ta", "V", "H", "Rh"],
  "frac_coords": [[0.5000, 0.0000, 0.0000], [0.0000, 0.5000, 0.0000], [0.5000, 0.5000, 0.5000], [0.0000, 0.0000, 0.0000], [0.0000, 0.0000, 0.5000]]
}